SrY2Ni: optimized geometry, PBE.

Computed properties:
E_tot   -20.489 eV per cell
Space group   No. 71

Geometry as POSCAR:
```
SrY2Ni
1.0
6.610 -0.018 0.036
5.636 3.454 0.036
2.516 0.706 5.177
Y Ni Sr
2 1 1
direct
0.065 0.065 0.935
0.435 0.435 0.565
0.750 0.750 0.750
0.250 0.250 0.250
```

SrY2Ni: optimized geometry, PBE.

Computed properties:
E_tot   -18.921 eV per cell
Space group   No. 225

Geometry as POSCAR:
```
SrY2Ni
1.0
0.000 3.770 3.770
3.770 0.000 3.770
3.770 3.770 0.000
Y Sr Ni
2 1 1
direct
0.750 0.750 0.750
0.250 0.250 0.250
0.500 0.500 0.500
0.000 0.000 0.000
```

Sr2YNi2: optimized geometry, PBE.

Computed properties:
E_tot   -39.454 eV per cell
Space group   No. 127

Geometry as POSCAR:
```
Sr2YNi2
1.0
8.591 0.000 0.000
0.000 8.591 0.000
0.000 0.000 3.379
Sr Ni Y
4 4 2
direct
0.366 0.866 0.000
0.866 0.634 0.000
0.634 0.134 0.000
0.134 0.366 0.000
0.328 0.172 0.500
0.672 0.828 0.500
0.828 0.328 0.500
0.172 0.672 0.500
0.000 0.000 0.000
0.500 0.500 0.000
```

SrYNi: optimized geometry, PBE.

Computed properties:
E_tot   -13.606 eV per cell
Space group   No. 216

Geometry as POSCAR:
```
SrYNi
1.0
4.958 0.000 0.000
2.479 4.294 0.000
2.479 1.431 4.048
Sr Y Ni
1 1 1
direct
0.000 0.000 0.000
0.500 0.500 0.500
0.750 0.750 0.750
```

SrY2Ni: optimized geometry, PBE.

Computed properties:
E_tot   -18.812 eV per cell
Space group   No. 139

Geometry as POSCAR:
```
SrY2Ni
1.0
6.350 0.056 0.000
3.033 5.579 0.000
-4.691 -2.818 3.221
Y Ni Sr
2 1 1
direct
0.500 0.500 0.000
0.000 0.000 0.000
0.250 0.750 0.500
0.750 0.250 0.500
```

SrYNi: optimized geometry, PBE.

Computed properties:
E_tot   -14.126 eV per cell
Space group   No. 42

Geometry as POSCAR:
```
SrYNi
1.0
7.073 -0.015 0.016
6.178 3.445 0.058
0.895 0.195 3.455
Sr Y Ni
1 1 1
direct
0.638 0.638 0.362
0.382 0.382 0.618
0.980 0.980 0.020
```

SrY2Ni: optimized geometry, PBE.

Computed properties:
E_tot   -20.165 eV per cell
Space group   No. 44

Geometry as POSCAR:
```
SrY2Ni
1.0
-2.212 0.056 -6.354
1.981 -4.591 -4.501
-2.988 1.362 5.872
Y Ni Sr
2 1 1
direct
0.680 0.180 0.500
0.999 0.999 0.000
0.515 0.515 0.000
0.307 0.807 0.500
```

SrY2Ni: optimized geometry, PBE.

Computed properties:
E_tot   -18.982 eV per cell
Space group   No. 65

Geometry as POSCAR:
```
SrY2Ni
1.0
-0.416 1.990 4.528
-3.593 -3.246 1.090
3.083 -2.891 1.553
Sr Y Ni
1 2 1
direct
0.000 0.500 0.500
0.500 0.500 0.000
0.000 0.000 0.000
0.500 0.000 0.500
```

SrY2Ni: optimized geometry, PBE.

Computed properties:
E_tot   -20.559 eV per cell
Space group   No. 6

Geometry as POSCAR:
```
SrY2Ni
1.0
3.792 0.000 0.000
0.000 4.028 0.007
0.000 1.997 8.266
Sr Y Ni
1 2 1
direct
0.500 0.579 0.715
0.000 0.907 0.062
0.500 0.271 0.333
0.000 0.743 0.390
```

SrY2Ni: optimized geometry, PBE.

Computed properties:
E_tot   -19.087 eV per cell
Space group   No. 47

Geometry as POSCAR:
```
SrY2Ni
1.0
-3.883 0.650 -0.869
-1.389 -2.176 4.579
0.271 4.743 2.336
Ni Y Sr
1 2 1
direct
0.500 0.000 0.500
0.000 0.000 0.000
0.500 0.500 0.000
0.000 0.500 0.500
```

Sr3Zn4Ni2: optimized geometry, PBE.

Computed properties:
E_tot   -23.201 eV per cell
Space group   No. 12

Geometry as POSCAR:
```
Sr3Zn4Ni2
1.0
-3.965 -0.104 1.514
2.309 -5.624 -0.291
2.891 4.195 7.859
Ni Zn Sr
2 4 3
direct
0.673 0.345 0.301
0.327 0.655 0.699
0.724 0.448 0.069
0.158 0.317 0.431
0.842 0.683 0.569
0.276 0.552 0.931
0.612 0.224 0.690
0.388 0.776 0.310
0.000 0.000 0.000
```

Sr2ZnNi: optimized geometry, PBE.

Computed properties:
E_tot   -10.239 eV per cell
Space group   No. 99

Geometry as POSCAR:
```
Sr2ZnNi
1.0
-2.701 -1.008 2.120
1.693 -3.074 0.700
3.930 3.707 6.768
Sr Zn Ni
2 1 1
direct
0.000 0.000 0.918
0.500 0.500 0.333
0.000 0.000 0.577
0.500 0.500 0.673
```

no.,spin magnetization (μB/f.u.),energy relative to the elements (meV/atom),calculated density (Mg/m³)
1,0.00,-24.4,4.547
2,0.17,367.6,5.022
3,0.00,332.7,5.080
4,0.00,106.9,4.532
5,0.01,394.9,4.738
6,0.00,-66.3,4.627
7,0.00,56.6,4.631
8,0.00,352.4,4.851
9,0.15,-41.8,4.264
10,0.00,326.0,4.797
11,0.00,-166.4,5.036
12,0.01,44.9,4.483